# 1
DFT (GGA-PBE) results for a relaxed BaCuPt crystal.

Output
The value obtained for the total energy is -3.533 eV/atom. For the magnetic moment, the calculation gives 0.0 μB/cell. For the density of states at the Fermi level, the calculation gives 13.537 states/eV per cell.

Cell and atoms, written as CIF:
```
data_BaCuPt
_chemical_formula_sum 'Ba4 Cu4 Pt4'
_space_group_name_H-M_alt 'F -4 3 m'
_space_group_IT_number 216
_space_group_name_Hall 'F -4 2 3'
_cell_length_a 7.216
_cell_length_b 7.216
_cell_length_c 7.216
_cell_angle_alpha 90.00
_cell_angle_beta 90.00
_cell_angle_gamma 90.00
loop_
_atom_site_label
_atom_site_fract_x
_atom_site_fract_y
_atom_site_fract_z
Ba1 0.000 0.000 0.000
Cu1 0.250 0.250 0.750
Pt1 0.250 0.250 0.250
```

# 2
DFT (GGA-PBE) results for a relaxed Ba2Cu2Pt crystal.

Output
The value obtained for the total energy is -3.732 eV/atom. For the magnetic moment, the calculation gives 0.0 μB/cell. For the density of states at the Fermi level, the calculation gives 3.674 states/eV per cell.

Cell and atoms, written as CIF:
```
data_Ba2Cu2Pt
_chemical_formula_sum 'Ba4 Cu4 Pt2'
_space_group_name_H-M_alt 'P 4/m b m'
_space_group_IT_number 127
_space_group_name_Hall '-P 4 2ab'
_cell_length_a 7.568
_cell_length_b 7.568
_cell_length_c 4.531
_cell_angle_alpha 90.00
_cell_angle_beta 90.00
_cell_angle_gamma 90.00
loop_
_atom_site_label
_atom_site_fract_x
_atom_site_fract_y
_atom_site_fract_z
Ba1 0.189 0.311 0.000
Cu1 0.115 0.615 0.500
Pt1 0.000 0.000 0.500
```